VASP calculation (GGA-PBE) on TbHoTmLu after structural relaxation.

abc: 5.5874 5.5874 5.5874
angles: 60.00 60.00 60.00
Sites, in units of the cell vectors:
Tb1 0.0000 0.0000 0.0000
Lu1 0.7500 0.7500 0.7500
Tm1 0.2500 0.2500 0.2500
Ho1 0.5000 0.5000 0.5000

Computed properties:
* space-group type: F-43m, No. 216
* formation energy from the elements: 0.127 eV/atom
* final energy: -17.7 eV/cell
* magnetic moment: 0.003 μB per cell